A plane-wave DFT calculation with PBE+U was carried out for a relaxed structure of K2Re3NiO12.

Values from the calculation:
Volume   15.285 Å³ per atom
Electronic total energy   -7.210 eV per atom

Lattice parameters (Å, degrees): 7.3239 7.3239 17.7687 90.00 90.00 120.00
Space group R-3m (No. 166, hexagonal axes)
Symmetry-distinct sites (fractional):
K: 0.0000 0.0000 0.1437
Re: 0.0000 0.5000 0.0000
Ni: 0.0000 0.0000 0.5000
O: 0.0752 0.5376 0.0991
O: 0.0857 0.5429 0.3554